Record 1
# CsSrH6Ir, optimized geometry, DFT PBE
# Electronic total energy: -35.38 eV/cell
# Magnetic moment: 0.15 μB/cell
data_CsSrH6Ir
_chemical_formula_sum 'Cs1 Sr1 H6 Ir1'
_cell_length_a 5.5211
_cell_length_b 5.5211
_cell_length_c 6.1123
_cell_angle_alpha 90.00
_cell_angle_beta 90.00
_cell_angle_gamma 120.00
_symmetry_space_group_name_H-M 'P 3 1 2'
_symmetry_Int_Tables_number 149
loop_
_symmetry_equiv_pos_as_xyz
'x,y,z'
'-y,x-y,z'
'-x+y,-x,z'
'-y,-x,-z'
'-x+y,y,-z'
'x,x-y,-z'
loop_
_atom_site_label
_atom_site_type_symbol
_atom_site_fract_x
_atom_site_fract_y
_atom_site_fract_z
Cs1 Cs 0.0000 0.0000 0.0000
Sr1 Sr 0.3333 0.6667 0.5000
H1 H 0.4234 0.1022 0.6732
Ir1 Ir 0.6667 0.3333 0.5000

Record 2
# CsZnH6Ir, optimized geometry, DFT PBE
# Electronic total energy: -33.18 eV/cell
# Magnetic moment: 0.00 μB/cell
data_CsZnH6Ir
_chemical_formula_sum 'Cs1 Zn1 H6 Ir1'
_cell_length_a 4.6422
_cell_length_b 4.6422
_cell_length_c 6.5468
_cell_angle_alpha 90.00
_cell_angle_beta 90.00
_cell_angle_gamma 120.00
_symmetry_space_group_name_H-M 'P 3 1 2'
_symmetry_Int_Tables_number 149
loop_
_symmetry_equiv_pos_as_xyz
'x,y,z'
'-y,x-y,z'
'-x+y,-x,z'
'-y,-x,-z'
'-x+y,y,-z'
'x,x-y,-z'
loop_
_atom_site_label
_atom_site_type_symbol
_atom_site_fract_x
_atom_site_fract_y
_atom_site_fract_z
Cs1 Cs 0.0000 0.0000 0.0000
Zn1 Zn 0.3333 0.6667 0.5000
H1 H 0.3716 0.0527 0.6541
Ir1 Ir 0.6667 0.3333 0.5000

Record 3
# CsKH, optimized geometry, DFT PBE
# Electronic total energy: -10.83 eV/cell
# Magnetic moment: 0.00 μB/cell
data_CsKH
_chemical_formula_sum 'Cs2 K2 H2'
_cell_length_a 4.904
_cell_length_b 4.913
_cell_length_c 14.706
_cell_angle_alpha 90.07
_cell_angle_beta 90.11
_cell_angle_gamma 119.83
_symmetry_space_group_name_H-M 'P -1'
_symmetry_Int_Tables_number 2
loop_
_symmetry_equiv_pos_as_xyz
'x,y,z'
'-x,-y,-z'
loop_
_atom_site_label
_atom_site_type_symbol
_atom_site_fract_x
_atom_site_fract_y
_atom_site_fract_z
Cs1 Cs 0.169 0.332 0.345
K1 K 0.165 0.331 0.907
H1 H 0.168 0.334 0.094